Arrangement i

A plane-wave DFT calculation with PBE was carried out for a relaxed Sc6TlPb crystal.

```
Sc6TlPb
1.0
4.540 0.000 0.000
0.000 4.540 0.000
0.000 0.000 9.093
Sc Tl Pb
6 1 1
direct
0.000 0.000 0.000
0.000 0.000 0.500
0.000 0.500 0.248
0.000 0.500 0.752
0.500 0.000 0.248
0.500 0.000 0.752
0.500 0.500 0.000
0.500 0.500 0.500
```

Summary:
- Spin magnetization: 4.06 μB/cell
- Space group: P4/mmm

---

Arrangement ii

A plane-wave DFT calculation with PBE was carried out for a relaxed Sc6TlPb crystal.

```
Sc6TlPb
1.0
5.722 0.000 0.000
0.000 5.722 0.000
0.000 0.000 5.722
Sc Tl Pb
6 1 1
direct
0.000 0.251 0.500
0.000 0.749 0.500
0.251 0.500 0.000
0.500 0.000 0.251
0.500 0.000 0.749
0.749 0.500 0.000
0.500 0.500 0.500
0.000 0.000 0.000
```

Summary:
- Spin magnetization: 1.95 μB/cell
- Space group: Pm-3

---

Which one is the least stable? From the structures above, arrangement ii.